Record 1
Density functional theory data (GGA-PBE) for crystalline Hf5V3H12 at its relaxed geometry. Values from VASP.

Quantum ESPRESSO input file:
```
&SYSTEM
  ibrav = 0, nat = 80, ntyp = 3
/
ATOMIC_SPECIES
H 1.01 H.upf
V 50.94 V.upf
Hf 178.49 Hf.upf
CELL_PARAMETERS angstrom
9.781 0.000 0.000
-3.260 9.221 0.000
-3.260 -4.611 7.986
ATOMIC_POSITIONS angstrom
H 5.485 -0.345 1.857
H 3.338 1.022 7.301
H 4.367 7.362 2.136
H 1.552 1.104 7.443
H -0.078 5.715 0.543
H 4.367 1.386 1.315
H -1.106 3.225 6.671
H -1.035 -0.524 3.363
H -1.552 0.082 6.758
H 6.598 4.693 1.228
H 5.039 2.337 2.678
H 6.670 -2.273 5.308
H 4.295 5.135 4.623
H 1.106 0.474 4.535
H 2.225 0.869 2.765
H 3.111 1.183 4.678
H -2.665 4.086 4.623
H 7.044 1.859 2.136
H 0.595 5.480 5.221
H 1.481 5.793 3.308
H -3.409 6.884 2.678
H -3.111 3.456 7.356
H 1.708 5.633 0.685
H 1.552 -1.022 7.301
H 5.997 -3.225 6.671
H -0.595 0.345 1.857
H 5.039 8.067 0.630
H 3.338 -1.104 7.443
H 5.925 0.524 3.363
H 2.154 4.137 3.450
H -2.736 7.836 1.315
H -1.106 -2.751 5.850
H 1.708 3.506 0.543
H -1.779 2.273 5.308
H 3.855 4.265 6.128
H 1.035 3.741 5.221
H -2.225 4.956 6.128
H 3.784 -0.474 4.535
H 1.779 -1.183 4.678
H 4.812 4.528 1.228
H -1.779 -3.456 7.356
H -3.338 -0.082 6.758
H -0.078 3.589 0.685
H -3.784 2.751 5.850
H -0.524 5.085 3.450
H 6.371 1.155 0.630
H 2.665 -0.869 2.765
H 0.149 3.428 3.308
V -0.815 4.034 4.991
V 7.335 0.000 1.996
V 2.445 5.187 4.991
V 2.445 0.000 5.989
V 5.705 2.882 0.998
V -2.445 1.729 6.988
V 4.075 0.576 2.995
V -2.445 -1.729 6.988
V 5.705 6.340 0.998
V 0.815 4.611 1.996
V -4.075 4.611 5.989
V 0.815 -0.576 2.995
Hf -0.815 7.492 0.998
Hf 1.630 2.305 3.993
Hf 0.815 2.882 6.988
Hf 4.075 4.034 2.995
Hf 4.075 -2.882 6.988
Hf 3.260 4.611 0.000
Hf -1.630 4.611 0.000
Hf 4.890 0.000 0.000
Hf -1.630 -2.305 3.993
Hf 0.000 0.000 0.000
Hf -3.260 2.305 3.993
Hf 4.075 2.305 5.989
Hf 2.445 6.916 1.996
Hf 5.705 -0.576 4.991
Hf -2.445 5.187 2.995
Hf 2.445 1.729 0.998
Hf -0.815 2.305 1.996
Hf 0.815 -2.305 5.989
Hf -0.815 0.576 4.991
Hf 3.260 -2.305 3.993
```

Computed properties:
Space-group type: No. 230
Calculated total energy in eV per cell: -487.7

---

Record 2
Density functional theory data (GGA-PBE) for crystalline Tl16In7Sn6 at its relaxed geometry. Values from VASP.

Quantum ESPRESSO input file:
```
&SYSTEM
  ibrav = 0, nat = 29, ntyp = 3
/
ATOMIC_SPECIES
Sn 118.71 Sn.upf
Tl 204.38 Tl.upf
In 114.82 In.upf
CELL_PARAMETERS angstrom
9.432 0.000 5.446
3.144 8.893 5.446
0.000 0.000 10.891
ATOMIC_POSITIONS angstrom
Sn 10.679 7.551 10.891
Sn 8.483 1.341 7.089
Sn 4.093 7.551 14.694
Sn 8.483 1.341 14.694
Sn 4.093 7.551 7.089
Sn 1.897 1.341 10.891
Tl 5.565 1.367 5.446
Tl 6.288 1.248 10.891
Tl 4.780 3.380 13.503
Tl 7.796 5.512 13.503
Tl 1.934 1.367 3.349
Tl 7.796 5.512 8.280
Tl 9.303 3.380 10.891
Tl 3.144 4.791 5.446
Tl 10.642 7.525 14.240
Tl 7.011 7.525 16.337
Tl 1.934 1.367 7.542
Tl 10.642 7.525 18.433
Tl 9.432 4.102 16.337
Tl 6.288 7.645 10.891
Tl 3.273 5.512 10.891
Tl 4.780 3.380 8.280
In 6.288 4.446 10.891
In 6.288 4.446 5.446
In 1.572 4.446 8.168
In 1.572 4.446 2.723
In 4.716 0.000 2.723
In 0.000 0.000 5.446
In 4.716 0.000 8.168
```

Computed properties:
Space-group type: No. 225
E_form in meV per atom: 85
Calculated total energy in eV per cell: -78.6

---

Record 3
Density functional theory data (GGA-PBE) for crystalline Sc2VCr at its relaxed geometry. Values from VASP.

Quantum ESPRESSO input file:
```
&SYSTEM
  ibrav = 0, nat = 4, ntyp = 3
/
ATOMIC_SPECIES
Sc 44.96 Sc.upf
V 50.94 V.upf
Cr 52.00 Cr.upf
CELL_PARAMETERS angstrom
0.000 3.366 3.366
3.366 0.000 3.366
3.366 3.366 0.000
ATOMIC_POSITIONS angstrom
Sc 5.049 5.049 5.049
Sc 1.683 1.683 1.683
V 0.000 0.000 0.000
Cr 3.366 3.366 3.366
```

Computed properties:
Space-group type: No. 225
Energy relative to the lowest polymorph listed for this composition in meV/atom: 0.0
E_form in meV per atom: 318
Calculated total energy in eV per cell: -30.1

---

Record 4
Density functional theory data (GGA-PBE) for crystalline AlSb2TePb at its relaxed geometry. Values from VASP.

Quantum ESPRESSO input file:
```
&SYSTEM
  ibrav = 0, nat = 5, ntyp = 4
/
ATOMIC_SPECIES
Al 26.98 Al.upf
Te 127.60 Te.upf
Sb 121.76 Sb.upf
Pb 207.20 Pb.upf
CELL_PARAMETERS angstrom
-4.825 3.055 -1.069
-2.354 -1.995 4.923
2.253 4.585 2.936
ATOMIC_POSITIONS angstrom
Al -2.463 2.823 3.395
Te 1.127 2.293 1.468
Sb -1.177 -0.997 2.461
Sb -2.412 1.528 -0.535
Pb 0.000 0.000 0.000
```

Computed properties:
Space-group type: No. 123
ΔE_f (raw) in eV per atom: 0.91
Energy relative to the lowest polymorph listed for this composition in meV/atom: 629.9
Calculated total energy in eV per cell: -14.3

---

Record 5
Density functional theory data (GGA-PBE) for crystalline CsCd2CuPb at its relaxed geometry. Values from VASP.

Quantum ESPRESSO input file:
```
&SYSTEM
  ibrav = 0, nat = 5, ntyp = 4
/
ATOMIC_SPECIES
Cd 112.41 Cd.upf
Pb 207.20 Pb.upf
Cu 63.55 Cu.upf
Cs 132.91 Cs.upf
CELL_PARAMETERS angstrom
5.420 0.000 0.000
0.000 5.420 0.000
0.000 0.000 5.338
ATOMIC_POSITIONS angstrom
Cd 2.710 0.000 0.000
Cd 0.000 2.710 0.000
Pb 0.000 0.000 2.669
Cu 0.000 0.000 0.000
Cs 2.710 2.710 2.669
```

Computed properties:
Space-group type: No. 123
E_form in meV per atom: 115
Calculated total energy in eV per cell: -9.9

---

Record 6
Density functional theory data (GGA-PBE) for crystalline BaTa3Te at its relaxed geometry. Values from VASP.

Quantum ESPRESSO input file:
```
&SYSTEM
  ibrav = 0, nat = 5, ntyp = 3
/
ATOMIC_SPECIES
Ba 137.33 Ba.upf
Ta 180.95 Ta.upf
Te 127.60 Te.upf
CELL_PARAMETERS angstrom
-0.832 0.368 5.060
3.694 -3.471 0.860
3.477 3.775 0.297
ATOMIC_POSITIONS angstrom
Ba 0.000 0.000 0.000
Ta 1.739 1.888 0.149
Ta 1.847 -1.735 0.430
Ta -0.416 0.184 2.530
Te 3.170 0.336 3.109
```

Computed properties:
Space-group type: No. 221
ΔE_f (raw) in eV per atom: 2.85
Energy relative to the lowest polymorph listed for this composition in meV/atom: 1327.4
Calculated total energy in eV per cell: -26.4

---

Record 7
Density functional theory data (GGA-PBE) for crystalline TbHoAlRu at its relaxed geometry. Values from VASP.

Quantum ESPRESSO input file:
```
&SYSTEM
  ibrav = 0, nat = 4, ntyp = 4
/
ATOMIC_SPECIES
Al 26.98 Al.upf
Ru 101.07 Ru.upf
Ho 164.93 Ho.upf
Tb 158.93 Tb.upf
CELL_PARAMETERS angstrom
4.955 0.000 0.000
2.478 4.291 0.000
2.478 1.430 4.046
ATOMIC_POSITIONS angstrom
Al 2.478 1.430 1.012
Ru 7.433 4.291 3.035
Ho 0.000 0.000 0.000
Tb 4.955 2.861 2.023
```

Computed properties:
Space-group type: No. 216
E_form in meV per atom: -352
Calculated total energy in eV per cell: -23.6

---

Record 8
Density functional theory data (GGA-PBE) for crystalline LiHg2Ge at its relaxed geometry. Values from VASP.

Quantum ESPRESSO input file:
```
&SYSTEM
  ibrav = 0, nat = 4, ntyp = 3
/
ATOMIC_SPECIES
Hg 200.59 Hg.upf
Ge 72.64 Ge.upf
Li 6.94 Li.upf
CELL_PARAMETERS angstrom
-2.097 1.842 -1.535
0.100 0.222 -3.176
-6.899 -7.019 -2.305
ATOMIC_POSITIONS angstrom
Hg -5.145 -4.850 -2.098
Hg -3.752 -0.105 -4.918
Ge 0.000 0.000 0.000
Li -4.448 -2.477 -3.508
```

Computed properties:
Space-group type: No. 166
E_form in meV per atom: -6
Calculated total energy in eV per cell: -7.2

---

Q: Which formula does entry 5 have?
A: CsCd2CuPb